Record 1
{
  "formula": "TeAu2Se",
  "functional": "PBE",
  "state": "relaxed",
  "lattice_angstrom": [[5.600, 0.000, 0.000], [0.000, 5.600, 0.000], [0.000, 0.000, 5.648]],
  "species": ["Te", "Te", "Au", "Au", "Au", "Au", "Se", "Se"],
  "fractional_positions": [[0.000, 0.000, 0.000], [0.500, 0.500, 0.500], [0.000, 0.000, 0.500], [0.000, 0.500, 0.750], [0.500, 0.000, 0.250], [0.500, 0.500, 0.000], [0.000, 0.500, 0.250], [0.500, 0.000, 0.750]],
  "raw_formation_energy_mev_per_atom": 326,
  "vol_a3_per_atom": 22.137,
  "m_tot_mub_per_atom": 0.000,
  "e_tot_ev_per_atom": -2.969
}

---

Record 2
{
  "formula": "TeAuSe3",
  "functional": "PBE",
  "state": "relaxed",
  "lattice_angstrom": [[5.073, 0.000, 0.000], [0.000, 5.073, 0.000], [0.000, 0.000, 5.073]],
  "species": ["Te", "Au", "Se", "Se", "Se"],
  "fractional_positions": [[0.000, 0.000, 0.000], [0.500, 0.500, 0.500], [0.000, 0.500, 0.500], [0.500, 0.000, 0.500], [0.500, 0.500, 0.000]],
  "raw_formation_energy_mev_per_atom": 569,
  "vol_a3_per_atom": 26.111,
  "m_tot_mub_per_atom": 0.000,
  "e_tot_ev_per_atom": -2.805
}

---

Record 3
{
  "formula": "TeAuSe3",
  "functional": "PBE",
  "state": "relaxed",
  "lattice_angstrom": [[3.990, 0.000, 0.000], [-1.799, 7.363, 0.000], [-1.636, -3.451, 10.626]],
  "species": ["Te", "Te", "Au", "Au", "Se", "Se", "Se", "Se", "Se", "Se"],
  "fractional_positions": [[0.032, 0.344, 0.325], [0.968, 0.656, 0.675], [0.193, 0.162, 0.839], [0.807, 0.838, 0.161], [0.143, 0.665, 0.021], [0.225, 0.386, 0.616], [0.485, 0.025, 0.296], [0.515, 0.975, 0.704], [0.775, 0.614, 0.384], [0.857, 0.335, 0.979]],
  "raw_formation_energy_mev_per_atom": 34,
  "vol_a3_per_atom": 31.218,
  "m_tot_mub_per_atom": 0.000,
  "e_tot_ev_per_atom": -3.340
}